Li4MnCrO6 | PBE with a Hubbard U | relaxed

## Properties
ρ, g/cm3: 3.64
Crystal system: monoclinic
DFT total energy, eV per formula unit: -74.7

Cell and atoms, written as POSCAR:
```
Li4MnCrO6
1.0
-1.747 4.634 0.749
-4.120 0.651 2.772
4.723 -0.422 8.503
Cr O Mn Li
2 12 2 8
Cartesian
0.150 2.739 8.412 Cr
-1.294 2.124 3.611 Cr
-2.340 3.529 2.891 O
-0.579 1.681 1.828 O
-0.566 3.182 10.196 O
-1.199 1.304 8.155 O
0.835 2.585 6.654 O
-1.147 4.109 7.837 O
0.002 0.754 4.186 O
-2.734 0.770 3.408 O
1.196 1.334 9.132 O
-1.980 2.279 5.370 O
0.055 3.560 3.868 O
1.590 4.094 8.615 O
0.693 0.334 2.418 Mn
-1.837 4.529 9.605 Mn
0.622 1.645 11.098 Li
-0.680 0.902 6.212 Li
-2.060 0.326 1.386 Li
1.488 2.106 4.626 Li
2.096 0.987 7.245 Li
-1.767 3.218 0.925 Li
-0.464 3.961 5.812 Li
-3.240 3.877 4.779 Li
```